No. 1
LaTlBr (GGA-PBE, relaxed); uncorrected formation energy = -74.4 kJ per mole of atoms; symmetry = P3m1 (156); calculated total energy = -11.281 eV/cell; magnetic moment = 0.0 μB per formula unit
1.0
3.908 0.000 0.000
-1.954 3.385 0.000
0.000 0.000 8.020
Tl Br La
1 1 1
Cartesian
0.000 2.257 5.044
0.000 0.000 0.447
1.954 1.128 2.529

No. 2
LaTl2Br (GGA-PBE, relaxed); uncorrected formation energy = -58.8 kJ per mole of atoms; symmetry = Pmmm (47); calculated total energy = -13.770 eV/cell; magnetic moment = 0.0 μB per formula unit
1.0
3.768 0.000 0.000
0.000 5.228 0.000
0.000 0.000 6.069
Tl Br La
2 1 1
Cartesian
0.000 0.000 0.000
1.884 2.614 0.000
1.884 0.000 3.034
0.000 2.614 3.034

No. 3
LaTl2Br (GGA-PBE, relaxed); uncorrected formation energy = -34.2 kJ per mole of atoms; symmetry = I-42d (122); calculated total energy = -25.504 eV/cell; magnetic moment = 0.0 μB per formula unit
1.0
10.095 0.000 0.000
0.000 10.095 0.000
5.047 5.047 2.929
Tl Br La
4 2 2
Cartesian
8.043 2.524 0.732
2.051 7.571 0.732
7.571 7.099 2.197
12.619 13.091 2.197
5.047 5.047 0.000
5.047 10.095 1.464
0.000 0.000 0.000
10.095 5.047 1.464

No. 4
LaTlBr2 (GGA-PBE, relaxed); uncorrected formation energy = -95.9 kJ per mole of atoms; symmetry = I4/mmm (139); calculated total energy = -14.614 eV/cell; magnetic moment = 0.0 μB per formula unit
1.0
5.857 -0.004 0.000
1.634 5.625 0.000
-3.746 -2.810 3.519
Tl Br La
1 2 1
Cartesian
2.929 -0.002 1.759
0.000 0.000 0.000
3.746 2.810 0.000
0.817 2.812 1.759

No. 5
La4TlBr6 (GGA-PBE, relaxed); uncorrected formation energy = -130.5 kJ per mole of atoms; symmetry = P4_2/nmc (137); calculated total energy = -93.985 eV/cell; magnetic moment = 0.0 μB per formula unit
1.0
-4.193 -3.300 5.117
7.929 -5.924 2.676
2.906 7.006 6.899
La Tl Br
8 2 12
Cartesian
-0.535 0.771 3.292
4.056 -3.605 9.571
0.049 -0.611 8.219
0.903 4.237 6.705
5.325 1.660 7.541
-0.920 -3.798 4.245
3.002 -6.729 5.568
3.856 -1.881 4.054
5.418 0.541 4.787
-2.096 -1.650 2.559
4.397 -3.878 6.442
1.001 -1.341 5.296
1.274 3.362 3.669
-0.823 1.712 6.227
2.246 1.659 8.250
5.641 -0.878 9.396
8.515 0.850 7.525
3.982 4.237 5.995
-0.049 -6.121 6.236
2.047 -4.471 3.678
6.854 -3.156 3.580
2.320 0.232 2.050

No. 6
LaTl2Br (GGA-PBE, relaxed); uncorrected formation energy = -46.9 kJ per mole of atoms; symmetry = Cmmm (65); calculated total energy = -13.276 eV/cell; magnetic moment = 0.1 μB per formula unit
1.0
-1.354 -5.000 -3.127
4.482 3.312 -2.355
2.442 -1.898 1.978
Tl Br La
2 1 1
Cartesian
0.000 0.000 0.000
1.564 -0.844 -2.741
0.544 -3.449 -0.574
3.462 0.707 -0.188

No. 7
LaTlBr (GGA-PBE, relaxed); uncorrected formation energy = -43.5 kJ per mole of atoms; symmetry = F-43m (216); calculated total energy = -10.319 eV/cell; magnetic moment = 0.0 μB per formula unit
1.0
-1.630 4.908 1.164
-1.454 1.205 4.953
3.046 3.172 2.959
Tl Br La
1 1 1
Cartesian
0.000 0.000 0.000
-0.019 4.643 4.538
-0.028 6.964 6.807

No. 8
LaTlBr2 (GGA-PBE, relaxed); uncorrected formation energy = -114.4 kJ per mole of atoms; symmetry = R-3m (166); calculated total energy = -15.380 eV/cell; magnetic moment = 0.0 μB per formula unit
1.0
-2.779 10.809 0.456
-2.546 10.019 4.230
0.642 10.923 2.245
Tl Br La
1 2 1
Cartesian
0.000 0.000 0.000
-4.202 28.484 6.218
-0.482 3.267 0.713
-2.342 15.875 3.466

no.,Fermi-level density of states (states/eV/f.u.)
1,2.63
2,2.28
3,3.03
4,3.40
5,13.57
6,4.43
7,4.58
8,3.59